Record 1
ZrB2Au: optimized geometry, GGA-PBE.

Properties
The value obtained for the calculated volume is 52.2 Å³ per cell. Its formation energy is 0.53 eV/atom. For the total energy, the calculation gives -5.766 eV/atom.

```
ZrB2Au
1.0
0.000 2.967 2.967
2.967 0.000 2.967
2.967 2.967 0.000
B Au Zr
2 1 1
Cartesian
1.483 1.483 1.483
4.450 4.450 4.450
2.967 2.967 2.967
0.000 0.000 0.000
```


Record 2
Sr2SbAu2: optimized geometry, GGA-PBE.

Properties
The formation energy without anion corrections comes out at -0.79 eV per atom. The value obtained for the calculated volume is 141.6 Å³ per cell. For the total energy, the calculation gives -3.601 eV/atom.

```
Sr2SbAu2
1.0
-4.234 -0.272 -1.889
-0.524 -4.653 -3.866
-3.334 -4.468 2.407
Sr Sb Au
2 1 2
Cartesian
-6.084 -6.699 -2.528
-2.008 -2.694 -0.820
0.000 0.000 0.000
-4.625 -4.658 -0.381
-3.467 -4.735 -2.967
```


Record 3
Ba3Na2Pd2: optimized geometry, GGA-PBE.

Properties
The value obtained for the calculated volume is 297.2 Å³ per cell. Its formation energy is -0.23 eV/atom. For the total energy, the calculation gives -2.915 eV/atom.

```
Ba3Na2Pd2
1.0
4.372 -0.005 1.048
1.899 5.647 1.686
-0.514 -0.308 11.843
Ba Na Pd
3 2 2
Cartesian
0.000 0.000 0.000
3.598 2.448 4.267
2.159 2.886 10.311
0.627 0.922 7.056
5.130 4.412 7.522
3.833 3.156 12.973
1.924 2.178 1.605
```


Record 4
Y4Te2PPt: optimized geometry, GGA-PBE.

Properties
The formation energy without anion corrections comes out at -1.38 eV per atom. The value obtained for the calculated volume is 214.6 Å³ per cell. For the total energy, the calculation gives -6.833 eV/atom.

```
Y4Te2PPt
1.0
-1.478 3.859 -0.281
-6.458 -2.643 -2.316
-0.139 0.487 7.426
Y Te P Pt
4 2 1 1
Cartesian
-2.274 1.418 0.910
-5.801 0.285 3.919
-1.806 -0.309 5.258
-4.790 -1.846 -0.148
-0.809 2.173 3.572
-3.298 -1.078 2.555
0.000 0.000 0.000
-3.968 0.608 -1.299
```


Record 5
Li5Nd2Mg12: optimized geometry, GGA-PBE.

Properties
The value obtained for the calculated volume is 445.8 Å³ per cell. Its formation energy is -0.05 eV/atom. For the total energy, the calculation gives -2.059 eV/atom.

```
Li5Nd2Mg12
1.0
-0.706 -1.540 7.511
7.442 0.660 1.865
-0.233 7.279 2.501
Li Nd Mg
5 2 12
Cartesian
-0.116 3.639 1.250
3.721 0.330 0.932
-0.353 -0.770 3.756
5.867 5.774 10.715
0.636 0.626 1.161
4.257 4.189 7.775
2.246 2.210 4.102
4.984 -0.003 3.568
-0.563 1.120 6.000
2.082 5.283 2.309
1.751 -0.876 5.808
-0.375 4.619 4.012
5.127 2.657 2.056
2.121 5.908 5.362
6.026 2.540 5.039
1.880 1.420 7.912
0.477 3.859 6.838
4.382 0.491 6.514
4.623 4.979 3.964
```


Record 6
La2ZnCdNi: optimized geometry, GGA-PBE.

Properties
The value obtained for the calculated volume is 135.1 Å³ per cell. Its formation energy is -0.24 eV/atom. For the total energy, the calculation gives -3.808 eV/atom.

```
La2ZnCdNi
1.0
5.378 0.000 0.000
0.000 5.378 0.000
0.000 0.000 4.672
Ni Zn Cd La
1 1 1 2
Cartesian
0.000 0.000 0.000
0.000 0.000 2.336
2.689 2.689 2.336
0.000 2.689 0.000
2.689 0.000 0.000
```


Record 7
ScH2W: optimized geometry, GGA-PBE.

Properties
The value obtained for the calculated volume is 83.0 Å³ per cell. For the total energy, the calculation gives -6.590 eV/atom.

```
ScH2W
1.0
4.880 0.000 0.000
0.000 4.880 0.000
2.440 2.440 3.486
Sc H W
2 4 2
Cartesian
2.440 2.440 0.000
2.440 4.880 1.743
3.791 1.220 0.871
1.088 3.660 0.871
3.660 3.528 2.614
6.099 6.231 2.614
0.000 0.000 0.000
4.880 2.440 1.743
```


Record 8
La2HoMg8: optimized geometry, GGA-PBE.

Properties
The value obtained for the calculated volume is 293.0 Å³ per cell. Its formation energy is -0.06 eV/atom. For the total energy, the calculation gives -2.530 eV/atom.

```
La2HoMg8
1.0
4.916 0.000 -1.496
-1.249 5.848 -4.103
0.239 0.665 9.610
La Ho Mg
2 1 8
Cartesian
0.194 4.938 0.637
3.713 1.576 3.374
2.458 0.000 -0.748
2.029 4.266 -2.157
1.088 3.620 3.575
0.569 1.076 1.870
-0.297 1.895 -0.976
3.337 5.437 2.141
2.819 2.894 0.436
1.877 2.247 6.169
4.204 4.618 4.988
```